# 1
Crystalline Al2ReOs at its relaxed geometry. Source: Alexandria, functional PBE-GGA.

Output
**Crystal system**: trigonal
**Relative energy among the computed polymorphs**: 0.143 eV/atom
**SG**: No. 166
**ΔH_f (0 K)**: -89 meV per atom

Unit cell a=2.811 b=2.811 c=25.521 alpha=90.00 beta=90.00 gamma=120.00
Atoms (fractional coordinates):
Al (0.000, 0.000, 0.248)
Al (0.000, 0.000, 0.752)
Al (0.333, 0.667, 0.419)
Al (0.333, 0.667, 0.915)
Al (0.667, 0.333, 0.085)
Al (0.667, 0.333, 0.581)
Re (0.000, 0.000, 0.000)
Re (0.333, 0.667, 0.667)
Re (0.667, 0.333, 0.333)
Os (0.000, 0.000, 0.500)
Os (0.333, 0.667, 0.167)
Os (0.667, 0.333, 0.833)

# 2
Crystalline AcPt2Au at its relaxed geometry. Source: Alexandria, functional PBE-GGA.

Output
**Crystal system**: tetragonal
**Relative energy among the computed polymorphs**: 0.246 eV/atom
**SG**: No. 123
**ΔH_f (0 K)**: -520 meV per atom

Unit cell a=3.785 b=3.785 c=6.086 alpha=90.00 beta=90.00 gamma=90.00
Atoms (fractional coordinates):
Ac (0.000, 0.000, 0.000)
Pt (0.500, 0.500, 0.273)
Pt (0.500, 0.500, 0.727)
Au (0.000, 0.000, 0.500)

# 3
Crystalline Ti2MnTlV at its relaxed geometry. Source: Alexandria, functional PBE-GGA.

Output
**Crystal system**: tetragonal
**SG**: No. 123
**ΔH_f (0 K)**: 847 meV per atom

Unit cell a=4.475 b=4.475 c=5.172 alpha=90.00 beta=90.00 gamma=90.00
Atoms (fractional coordinates):
Ti (0.000, 0.500, 0.000)
Ti (0.500, 0.000, 0.000)
Mn (0.000, 0.000, 0.500)
Tl (0.500, 0.500, 0.500)
V (0.500, 0.500, 0.000)

# 4
Crystalline Sb2PbAu at its relaxed geometry. Source: Alexandria, functional PBE-GGA.

Output
**Crystal system**: orthorhombic
**SG**: No. 71
**Raw formation energy**: 0.2 eV per formula unit

Unit cell a=3.774 b=5.416 c=10.332 alpha=90.00 beta=90.00 gamma=90.00
Atoms (fractional coordinates):
Sb (0.000, 0.000, 0.210)
Sb (0.000, 0.000, 0.790)
Sb (0.500, 0.500, 0.290)
Sb (0.500, 0.500, 0.710)
Pb (0.000, 0.500, 0.000)
Pb (0.500, 0.000, 0.500)
Au (0.000, 0.500, 0.500)
Au (0.500, 0.000, 0.000)

# 5
Crystalline LiYC at its relaxed geometry. Source: Alexandria, functional PBE-GGA.

Output
**Crystal system**: tetragonal
**Relative energy among the computed polymorphs**: 0.106 eV/atom
**SG**: No. 131
**ΔH_f (0 K)**: -29 meV per atom

Unit cell a=3.900 b=3.900 c=6.553 alpha=90.00 beta=90.00 gamma=90.00
Atoms (fractional coordinates):
Li (0.000, 0.000, 0.000)
Li (0.000, 0.000, 0.500)
Y (0.500, 0.500, 0.250)
Y (0.500, 0.500, 0.750)
C (0.000, 0.500, 0.000)
C (0.500, 0.000, 0.500)

# 6
Crystalline Mg5In2Cu2Ag at its relaxed geometry. Source: Alexandria, functional PBE-GGA.

Output
**Crystal system**: tetragonal
**SG**: No. 127
**ΔH_f (0 K)**: -62 meV per atom

Unit cell a=10.403 b=10.403 c=3.691 alpha=90.00 beta=90.00 gamma=90.00
Atoms (fractional coordinates):
Mg (0.000, 0.500, 0.000)
Mg (0.070, 0.201, 0.000)
Mg (0.201, 0.930, 0.000)
Mg (0.299, 0.430, 0.000)
Mg (0.430, 0.701, 0.000)
Mg (0.500, 0.000, 0.000)
Mg (0.570, 0.299, 0.000)
Mg (0.701, 0.570, 0.000)
Mg (0.799, 0.070, 0.000)
Mg (0.930, 0.799, 0.000)
In (0.173, 0.673, 0.500)
In (0.327, 0.173, 0.500)
In (0.673, 0.827, 0.500)
In (0.827, 0.327, 0.500)
Cu (0.128, 0.372, 0.500)
Cu (0.372, 0.872, 0.500)
Cu (0.628, 0.128, 0.500)
Cu (0.872, 0.628, 0.500)
Ag (0.000, 0.000, 0.500)
Ag (0.500, 0.500, 0.500)

# 7
Crystalline Tl3HgCl3 at its relaxed geometry. Source: Alexandria, functional PBE-GGA.

Output
**Crystal system**: trigonal
**Relative energy among the computed polymorphs**: 0.000 eV/atom
**SG**: No. 148
**Raw formation energy**: -5.8 eV per formula unit

Unit cell a=8.518 b=8.518 c=8.518 alpha=68.46 beta=68.46 gamma=68.46
Atoms (fractional coordinates):
Tl (0.074, 0.426, 0.748)
Tl (0.252, 0.926, 0.574)
Tl (0.426, 0.748, 0.074)
Tl (0.574, 0.252, 0.926)
Tl (0.748, 0.074, 0.426)
Tl (0.926, 0.574, 0.252)
Hg (0.335, 0.335, 0.335)
Hg (0.665, 0.665, 0.665)
Cl (0.100, 0.788, 0.389)
Cl (0.212, 0.611, 0.900)
Cl (0.389, 0.100, 0.788)
Cl (0.611, 0.900, 0.212)
Cl (0.788, 0.389, 0.100)
Cl (0.900, 0.212, 0.611)

# 8
Crystalline La4Sm2Th at its relaxed geometry. Source: Alexandria, functional PBE-GGA.

Output
**Crystal system**: cubic
**Relative energy among the computed polymorphs**: 0.281 eV/atom
**SG**: No. 227
**ΔH_f (0 K)**: 357 meV per atom

Unit cell a=11.383 b=11.383 c=11.383 alpha=60.00 beta=60.00 gamma=60.00
Atoms (fractional coordinates):
La (0.000, 0.000, 0.000)
La (0.000, 0.000, 0.500)
La (0.000, 0.500, 0.000)
La (0.143, 0.143, 0.607)
La (0.143, 0.607, 0.143)
La (0.143, 0.607, 0.607)
La (0.393, 0.393, 0.857)
La (0.393, 0.857, 0.393)
La (0.393, 0.857, 0.857)
La (0.500, 0.000, 0.000)
La (0.607, 0.143, 0.143)
La (0.607, 0.143, 0.607)
La (0.607, 0.607, 0.143)
La (0.857, 0.393, 0.393)
La (0.857, 0.393, 0.857)
La (0.857, 0.857, 0.393)
Sm (0.178, 0.774, 0.774)
Sm (0.226, 0.226, 0.226)
Sm (0.226, 0.226, 0.822)
Sm (0.226, 0.822, 0.226)
Sm (0.774, 0.178, 0.774)
Sm (0.774, 0.774, 0.178)
Sm (0.774, 0.774, 0.774)
Sm (0.822, 0.226, 0.226)
Th (0.000, 0.500, 0.500)
Th (0.500, 0.000, 0.500)
Th (0.500, 0.500, 0.000)
Th (0.500, 0.500, 0.500)

# 9
Crystalline MoP2WS at its relaxed geometry. Source: Alexandria, functional PBE-GGA.

Output
**Crystal system**: tetragonal
**Relative energy among the computed polymorphs**: 0.279 eV/atom
**SG**: No. 123
**Raw formation energy**: 6.1 eV per formula unit

Unit cell a=4.702 b=4.702 c=4.544 alpha=90.00 beta=90.00 gamma=90.00
Atoms (fractional coordinates):
Mo (0.000, 0.000, 0.000)
P (0.000, 0.500, 0.000)
P (0.500, 0.000, 0.000)
W (0.500, 0.500, 0.500)
S (0.000, 0.000, 0.500)

# 10
Crystalline BaSn3Hg3 at its relaxed geometry. Source: Alexandria, functional PBE-GGA.

Output
**Crystal system**: hexagonal
**Relative energy among the computed polymorphs**: 0.000 eV/atom
**SG**: No. 176
**ΔH_f (0 K)**: -205 meV per atom

Unit cell a=9.853 b=9.853 c=5.105 alpha=90.00 beta=90.00 gamma=120.00
Atoms (fractional coordinates):
Ba (0.333, 0.667, 0.250)
Ba (0.667, 0.333, 0.750)
Sn (0.044, 0.217, 0.250)
Sn (0.174, 0.956, 0.250)
Sn (0.217, 0.174, 0.750)
Sn (0.783, 0.826, 0.250)
Sn (0.826, 0.044, 0.750)
Sn (0.956, 0.783, 0.750)
Hg (0.078, 0.437, 0.750)
Hg (0.359, 0.922, 0.750)
Hg (0.437, 0.359, 0.250)
Hg (0.563, 0.641, 0.750)
Hg (0.641, 0.078, 0.250)
Hg (0.922, 0.563, 0.250)

# 11
Crystalline NpMnSn2S5 at its relaxed geometry. Source: Alexandria, functional PBE-GGA.

Output
**Crystal system**: orthorhombic
**SG**: No. 36
**Raw formation energy**: -6.5 eV per formula unit

Unit cell a=9.766 b=9.766 c=12.248 alpha=90.00 beta=90.00 gamma=156.37
Atoms (fractional coordinates):
Np (0.209, 0.791, 0.500)
Np (0.791, 0.209, 0.000)
Mn (0.433, 0.567, 0.926)
Mn (0.567, 0.433, 0.426)
Sn (0.088, 0.912, 0.761)
Sn (0.141, 0.859, 0.137)
Sn (0.859, 0.141, 0.637)
Sn (0.912, 0.088, 0.261)
S (0.065, 0.935, 0.534)
S (0.280, 0.720, 0.147)
S (0.318, 0.682, 0.858)
S (0.349, 0.651, 0.489)
S (0.497, 0.503, 0.763)
S (0.503, 0.497, 0.263)
S (0.651, 0.349, 0.989)
S (0.682, 0.318, 0.358)
S (0.720, 0.280, 0.647)
S (0.935, 0.065, 0.034)

# 12
Crystalline KV3As at its relaxed geometry. Source: Alexandria, functional PBE-GGA.

Output
**Crystal system**: cubic
**Relative energy among the computed polymorphs**: 0.000 eV/atom
**SG**: No. 221
**ΔH_f (0 K)**: 929 meV per atom

Unit cell a=5.007 b=5.007 c=5.007 alpha=90.00 beta=90.00 gamma=90.00
Atoms (fractional coordinates):
K (0.000, 0.000, 0.000)
V (0.000, 0.500, 0.500)
V (0.500, 0.000, 0.500)
V (0.500, 0.500, 0.000)
As (0.500, 0.500, 0.500)

# 13
Crystalline PrAl12Cu4 at its relaxed geometry. Source: Alexandria, functional PBE-GGA.

Output
**Crystal system**: cubic
**SG**: No. 204
**ΔH_f (0 K)**: 52 meV per atom

Unit cell a=7.463 b=7.463 c=7.463 alpha=109.47 beta=109.47 gamma=109.47
Atoms (fractional coordinates):
Pr (0.000, 0.000, 0.000)
Al (0.167, 0.510, 0.344)
Al (0.167, 0.823, 0.656)
Al (0.177, 0.344, 0.833)
Al (0.344, 0.167, 0.510)
Al (0.344, 0.833, 0.177)
Al (0.490, 0.656, 0.833)
Al (0.510, 0.344, 0.167)
Al (0.656, 0.167, 0.823)
Al (0.656, 0.833, 0.490)
Al (0.823, 0.656, 0.167)
Al (0.833, 0.177, 0.344)
Al (0.833, 0.490, 0.656)
Cu (0.000, 0.000, 0.500)
Cu (0.000, 0.500, 0.000)
Cu (0.500, 0.000, 0.000)
Cu (0.500, 0.500, 0.500)

# 14
Crystalline VZnP2S at its relaxed geometry. Source: Alexandria, functional PBE-GGA.

Output
**Crystal system**: tetragonal
**Relative energy among the computed polymorphs**: 0.687 eV/atom
**SG**: No. 123
**Raw formation energy**: 4.7 eV per formula unit

Unit cell a=4.512 b=4.512 c=4.775 alpha=90.00 beta=90.00 gamma=90.00
Atoms (fractional coordinates):
V (0.000, 0.000, 0.000)
Zn (0.500, 0.500, 0.500)
P (0.000, 0.500, 0.500)
P (0.500, 0.000, 0.500)
S (0.500, 0.500, 0.000)

# 15
Crystalline EuGdMgAl at its relaxed geometry. Source: Alexandria, functional PBE-GGA.

Output
**Crystal system**: cubic
**SG**: No. 216
**ΔH_f (0 K)**: -204 meV per atom

Unit cell a=7.562 b=7.562 c=7.562 alpha=90.00 beta=90.00 gamma=90.00
Atoms (fractional coordinates):
Eu (0.000, 0.000, 0.000)
Eu (0.000, 0.500, 0.500)
Eu (0.500, 0.000, 0.500)
Eu (0.500, 0.500, 0.000)
Gd (0.000, 0.000, 0.500)
Gd (0.000, 0.500, 0.000)
Gd (0.500, 0.000, 0.000)
Gd (0.500, 0.500, 0.500)
Mg (0.250, 0.250, 0.750)
Mg (0.250, 0.750, 0.250)
Mg (0.750, 0.250, 0.250)
Mg (0.750, 0.750, 0.750)
Al (0.250, 0.250, 0.250)
Al (0.250, 0.750, 0.750)
Al (0.750, 0.250, 0.750)
Al (0.750, 0.750, 0.250)

# 16
Crystalline SmEr3Tc at its relaxed geometry. Source: Alexandria, functional PBE-GGA.

Output
**Crystal system**: orthorhombic
**Relative energy among the computed polymorphs**: 0.000 eV/atom
**SG**: No. 59
**ΔH_f (0 K)**: -14 meV per atom

Unit cell a=4.925 b=8.169 c=6.881 alpha=90.00 beta=90.00 gamma=90.00
Atoms (fractional coordinates):
Sm (0.250, 0.250, 0.078)
Sm (0.750, 0.750, 0.922)
Er (0.250, 0.547, 0.677)
Er (0.250, 0.750, 0.256)
Er (0.250, 0.953, 0.677)
Er (0.750, 0.047, 0.323)
Er (0.750, 0.250, 0.744)
Er (0.750, 0.453, 0.323)
Tc (0.250, 0.250, 0.482)
Tc (0.750, 0.750, 0.518)

# 17
Crystalline CaNb2TcN4 at its relaxed geometry. Source: Alexandria, functional PBE-GGA.

Output
**Crystal system**: orthorhombic
**SG**: No. 63
**Raw formation energy**: -5.8 eV per formula unit

Unit cell a=5.779 b=5.779 c=11.234 alpha=90.00 beta=90.00 gamma=148.91
Atoms (fractional coordinates):
Ca (0.115, 0.885, 0.750)
Ca (0.885, 0.115, 0.250)
Nb (0.369, 0.631, 0.546)
Nb (0.369, 0.631, 0.954)
Nb (0.631, 0.369, 0.046)
Nb (0.631, 0.369, 0.454)
Tc (0.152, 0.848, 0.250)
Tc (0.848, 0.152, 0.750)
N (0.000, 0.000, 0.000)
N (0.000, 0.000, 0.500)
N (0.270, 0.730, 0.109)
N (0.270, 0.730, 0.391)
N (0.462, 0.538, 0.750)
N (0.538, 0.462, 0.250)
N (0.730, 0.270, 0.609)
N (0.730, 0.270, 0.891)

# 18
Crystalline BaSr2Ac at its relaxed geometry. Source: Alexandria, functional PBE-GGA.

Output
**Crystal system**: trigonal
**Relative energy among the computed polymorphs**: 0.006 eV/atom
**SG**: No. 160
**ΔH_f (0 K)**: 53 meV per atom

Unit cell a=4.176 b=4.176 c=41.712 alpha=90.00 beta=90.00 gamma=120.00
Atoms (fractional coordinates):
Ba (0.000, 0.000, 0.000)
Ba (0.333, 0.667, 0.667)
Ba (0.667, 0.333, 0.333)
Sr (0.000, 0.000, 0.247)
Sr (0.000, 0.000, 0.420)
Sr (0.333, 0.667, 0.087)
Sr (0.333, 0.667, 0.914)
Sr (0.667, 0.333, 0.580)
Sr (0.667, 0.333, 0.753)
Ac (0.000, 0.000, 0.834)
Ac (0.333, 0.667, 0.500)
Ac (0.667, 0.333, 0.167)

# 19
Crystalline Y2Ag2Ir at its relaxed geometry. Source: Alexandria, functional PBE-GGA.

Output
**Crystal system**: tetragonal
**Relative energy among the computed polymorphs**: 0.132 eV/atom
**SG**: No. 127
**ΔH_f (0 K)**: -168 meV per atom

Unit cell a=7.323 b=7.323 c=4.102 alpha=90.00 beta=90.00 gamma=90.00
Atoms (fractional coordinates):
Y (0.183, 0.317, 0.000)
Y (0.317, 0.817, 0.000)
Y (0.683, 0.183, 0.000)
Y (0.817, 0.683, 0.000)
Ag (0.129, 0.629, 0.500)
Ag (0.371, 0.129, 0.500)
Ag (0.629, 0.871, 0.500)
Ag (0.871, 0.371, 0.500)
Ir (0.000, 0.000, 0.500)
Ir (0.500, 0.500, 0.500)

# 20
Crystalline Ce7Hg3Ge at its relaxed geometry. Source: Alexandria, functional PBE-GGA.

Output
**Crystal system**: monoclinic
**SG**: No. 12
**ΔH_f (0 K)**: -212 meV per atom

Unit cell a=7.751 b=7.751 c=5.644 alpha=108.00 beta=108.00 gamma=88.88
Atoms (fractional coordinates):
Ce (0.000, 0.000, 0.000)
Ce (0.070, 0.576, 0.352)
Ce (0.294, 0.294, 0.809)
Ce (0.424, 0.930, 0.648)
Ce (0.576, 0.070, 0.352)
Ce (0.706, 0.706, 0.191)
Ce (0.930, 0.424, 0.648)
Hg (0.281, 0.719, 0.000)
Hg (0.500, 0.500, 0.500)
Hg (0.719, 0.281, 0.000)
Ge (0.000, 0.000, 0.500)

# 21
Crystalline LaSm5Al3 at its relaxed geometry. Source: Alexandria, functional PBE-GGA.

Output
**Crystal system**: hexagonal
**SG**: No. 193
**ΔH_f (0 K)**: -229 meV per atom

Unit cell a=9.282 b=9.282 c=6.828 alpha=90.00 beta=90.00 gamma=120.00
Atoms (fractional coordinates):
La (0.000, 0.000, 0.000)
La (0.000, 0.000, 0.500)
Sm (0.000, 0.331, 0.250)
Sm (0.000, 0.669, 0.750)
Sm (0.331, 0.000, 0.250)
Sm (0.331, 0.331, 0.750)
Sm (0.333, 0.667, 0.000)
Sm (0.333, 0.667, 0.500)
Sm (0.667, 0.333, 0.000)
Sm (0.667, 0.333, 0.500)
Sm (0.669, 0.000, 0.750)
Sm (0.669, 0.669, 0.250)
Al (0.000, 0.340, 0.750)
Al (0.000, 0.660, 0.250)
Al (0.340, 0.000, 0.750)
Al (0.340, 0.340, 0.250)
Al (0.660, 0.000, 0.250)
Al (0.660, 0.660, 0.750)

# 22
Crystalline Tb3PrHg at its relaxed geometry. Source: Alexandria, functional PBE-GGA.

Output
**Crystal system**: monoclinic
**Relative energy among the computed polymorphs**: 0.000 eV/atom
**SG**: No. 12
**ΔH_f (0 K)**: -169 meV per atom

Unit cell a=15.028 b=15.028 c=5.592 alpha=90.31 beta=90.31 gamma=14.02
Atoms (fractional coordinates):
Tb (0.048, 0.048, 0.236)
Tb (0.126, 0.126, 0.745)
Tb (0.343, 0.343, 0.752)
Tb (0.657, 0.657, 0.248)
Tb (0.874, 0.874, 0.255)
Tb (0.952, 0.952, 0.764)
Pr (0.267, 0.267, 0.251)
Pr (0.733, 0.733, 0.749)
Hg (0.459, 0.459, 0.272)
Hg (0.541, 0.541, 0.728)